[1]
Here is Pr6AgPt2 after structural relaxation from Alexandria via LeMat-Bulk. Energies are from PBE.

Structure (CIF):
```
data_Pr6AgPt2
_cell_length_a 9.678
_cell_length_b 10.193
_cell_length_c 10.785
_cell_angle_alpha 90.00
_cell_angle_beta 90.00
_cell_angle_gamma 90.00
_symmetry_space_group_name_H-M 'I m m m'
_symmetry_Int_Tables_number 71
_symmetry_space_group_name_Hall '-I 2 2'
loop_
_atom_site_label
_atom_site_type_symbol
_atom_site_fract_x
_atom_site_fract_y
_atom_site_fract_z
Pr1 Pr 0.000 0.196 0.233
Pr2 Pr 0.199 0.500 0.170
Pr3 Pr 0.213 0.322 0.500
Ag1 Ag 0.000 0.000 0.000
Ag2 Ag 0.000 0.000 0.500
Pt1 Pt 0.000 0.344 0.000
Pt2 Pt 0.000 0.500 0.368
```

Distance to the lowest polymorph of the same formula   0.000 eV/atom

***

[2]
Here is PrAgPt2 after structural relaxation from Alexandria via LeMat-Bulk. Energies are from PBE.

Structure (CIF):
```
data_PrAgPt2
_cell_length_a 4.348
_cell_length_b 4.348
_cell_length_c 4.161
_cell_angle_alpha 90.00
_cell_angle_beta 90.00
_cell_angle_gamma 90.00
_symmetry_space_group_name_H-M 'P 4/m m m'
_symmetry_Int_Tables_number 123
_symmetry_space_group_name_Hall '-P 4 2'
loop_
_atom_site_label
_atom_site_type_symbol
_atom_site_fract_x
_atom_site_fract_y
_atom_site_fract_z
Pr1 Pr 0.000 0.000 0.000
Ag1 Ag 0.500 0.500 0.000
Pt1 Pt 0.000 0.500 0.500
```

***

[3]
Here is PrAgPt after structural relaxation from Alexandria via LeMat-Bulk. Energies are from PBE.

Structure (CIF):
```
data_PrAgPt
_cell_length_a 6.773
_cell_length_b 6.773
_cell_length_c 6.773
_cell_angle_alpha 90.00
_cell_angle_beta 90.00
_cell_angle_gamma 90.00
_symmetry_space_group_name_H-M 'F -4 3 m'
_symmetry_Int_Tables_number 216
_symmetry_space_group_name_Hall 'F -4 2 3'
loop_
_atom_site_label
_atom_site_type_symbol
_atom_site_fract_x
_atom_site_fract_y
_atom_site_fract_z
Pr1 Pr 0.000 0.000 0.000
Ag1 Ag 0.000 0.000 0.500
Pt1 Pt 0.250 0.250 0.750
```

Distance to the lowest polymorph of the same formula   0.135 eV/atom

***

no.,DOS at the Fermi energy (states/eV/f.u.),ΔH_f (0 K) (eV/atom)
1,9.1,-0.5577
2,1.3,-0.6330
3,1.2,-0.6029